Material: SmHo3Tm
Method: DFT, PBE
State: optimized geometry

Lattice parameters (Å, degrees): 6.499 6.659 8.911 80.05 69.29 61.03
Positions (direct):
Sm: 0.128 0.145 0.345
Sm: 0.872 0.855 0.655
Ho: 0.267 0.849 0.846
Ho: 0.298 0.297 0.952
Ho: 0.399 0.300 0.551
Ho: 0.601 0.700 0.449
Ho: 0.702 0.703 0.048
Ho: 0.733 0.151 0.154
Tm: 0.180 0.646 0.248
Tm: 0.820 0.354 0.752

Properties
- uncorrected energy (eV for the cell shown) = -45.32
- formation enthalpy at 0 K (meV per atom) = 53
- E above lowest polymorph (eV per atom) = 0.000
- density of states at the Fermi level (states/eV per atom) = 1.188

***

Material: SmHo8Tm5
Method: DFT, PBE
State: optimized geometry

Lattice parameters (Å, degrees): 8.361 8.361 8.361 111.38 111.38 105.73
Positions (direct):
Sm: 0.000 0.000 0.000
Ho: 0.092 0.674 0.761
Ho: 0.279 0.526 0.106
Ho: 0.326 0.087 0.418
Ho: 0.420 0.173 0.894
Ho: 0.474 0.580 0.753
Ho: 0.669 0.908 0.582
Ho: 0.827 0.721 0.247
Ho: 0.913 0.331 0.239
Tm: 0.032 0.211 0.596
Tm: 0.250 0.750 0.500
Tm: 0.563 0.968 0.179
Tm: 0.615 0.437 0.404
Tm: 0.789 0.385 0.821

Properties
- uncorrected energy (eV for the cell shown) = -60.14
- formation enthalpy at 0 K (meV per atom) = 254
- density of states at the Fermi level (states/eV per atom) = 1.537

***

Material: Sm8Ho4Tm3
Method: DFT, PBE
State: optimized geometry

Lattice parameters (Å, degrees): 9.092 9.092 6.833 110.30 110.30 83.31
Positions (direct):
Sm: 0.202 0.202 0.171
Sm: 0.204 0.796 0.000
Sm: 0.253 0.747 0.500
Sm: 0.256 0.256 0.708
Sm: 0.744 0.744 0.292
Sm: 0.747 0.253 0.500
Sm: 0.796 0.204 0.000
Sm: 0.798 0.798 0.829
Ho: 0.000 0.500 0.000
Ho: 0.500 0.000 0.000
Ho: 0.500 0.500 0.000
Ho: 0.500 0.500 0.500
Tm: 0.000 0.000 0.500
Tm: 0.000 0.500 0.500
Tm: 0.500 0.000 0.500

Properties
- uncorrected energy (eV for the cell shown) = -64.12
- formation enthalpy at 0 K (meV per atom) = 357
- density of states at the Fermi level (states/eV per atom) = 1.540

***

Material: Sm4Ho11Tm9
Method: DFT, PBE
State: optimized geometry

Lattice parameters (Å, degrees): 14.609 14.609 3.503 90.00 90.00 91.92
Positions (direct):
Sm: 0.050 0.221 0.000
Sm: 0.221 0.050 0.000
Sm: 0.779 0.950 0.000
Sm: 0.950 0.779 0.000
Ho: 0.085 0.422 0.500
Ho: 0.158 0.842 0.500
Ho: 0.259 0.259 0.500
Ho: 0.331 0.669 0.500
Ho: 0.422 0.085 0.500
Ho: 0.500 0.500 0.500
Ho: 0.578 0.915 0.500
Ho: 0.669 0.331 0.500
Ho: 0.741 0.741 0.500
Ho: 0.842 0.158 0.500
Ho: 0.915 0.578 0.500
Tm: 0.000 0.000 0.000
Tm: 0.124 0.629 0.000
Tm: 0.294 0.464 0.000
Tm: 0.371 0.876 0.000
Tm: 0.464 0.294 0.000
Tm: 0.536 0.706 0.000
Tm: 0.629 0.124 0.000
Tm: 0.706 0.536 0.000
Tm: 0.876 0.371 0.000

Properties
- uncorrected energy (eV for the cell shown) = -108.09
- formation enthalpy at 0 K (meV per atom) = 58
- density of states at the Fermi level (states/eV per atom) = 1.419

***

Material: Sm2Ho5Tm2
Method: DFT, PBE
State: optimized geometry

Lattice parameters (Å, degrees): 8.655 3.545 9.527 90.00 103.05 90.00
Positions (direct):
Sm: 0.029 0.000 0.184
Sm: 0.971 0.000 0.816
Ho: 0.000 0.500 0.500
Ho: 0.314 0.500 0.032
Ho: 0.356 0.000 0.713
Ho: 0.644 0.000 0.287
Ho: 0.686 0.500 0.968
Tm: 0.338 0.500 0.389
Tm: 0.662 0.500 0.611

Properties
- uncorrected energy (eV for the cell shown) = -41.00
- formation enthalpy at 0 K (meV per atom) = 30
- E above lowest polymorph (eV per atom) = 0.000
- density of states at the Fermi level (states/eV per atom) = 1.509

***

Material: Sm5Ho2Tm4
Method: DFT, PBE
State: optimized geometry

Lattice parameters (Å, degrees): 7.882 7.882 8.500 112.27 112.27 49.13
Positions (direct):
Sm: 0.000 0.000 0.000
Sm: 0.165 0.646 0.614
Sm: 0.354 0.835 0.386
Sm: 0.646 0.165 0.614
Sm: 0.835 0.354 0.386
Ho: 0.145 0.145 0.767
Ho: 0.855 0.855 0.233
Tm: 0.254 0.254 0.222
Tm: 0.393 0.393 0.004
Tm: 0.607 0.607 0.996
Tm: 0.746 0.746 0.778

Properties
- uncorrected energy (eV for the cell shown) = -48.11
- formation enthalpy at 0 K (meV per atom) = 230
- density of states at the Fermi level (states/eV per atom) = 1.486